First-principles (PBE-GGA) data for an optimized crystal structure of In4Hg5Sb, as listed in Alexandria via LeMat-Bulk.

The structure in POSCAR format:
```
In4Hg5Sb
1.0
7.0264 -2.2705 0.0000
7.0264 2.2705 0.0000
-4.6570 0.0000 9.1161
In Hg Sb
4 5 1
direct
0.0968 0.0968 0.3955
0.3007 0.3007 0.2051
0.6993 0.6993 0.7949
0.9032 0.9032 0.6045
0.1028 0.1028 0.9034
0.2984 0.2984 0.6972
0.5000 0.5000 0.0000
0.7016 0.7016 0.3028
0.8972 0.8972 0.0966
0.5000 0.5000 0.5000
```

Summary:
Raw formation energy = 3 meV/atom
Volume = 29.1 Å³ per atom
Symmetry = C2/m (12)
Magnetic moment = 0.0 μB/cell